A plane-wave DFT calculation with PBE was carried out for a relaxed CrIn2Hg crystal.

Structure (POSCAR):
```
CrIn2Hg
1.0
-5.9289 -6.9635 -2.5947
-3.0480 -8.1526 -3.8234
-3.8410 -8.6745 -0.6107
In Cr Hg
2 1 1
direct
0.5059 0.5059 0.5059 In
0.9941 0.9941 0.9941 In
0.2500 0.2500 0.2500 Cr
0.7500 0.7500 0.7500 Hg
```

Calculated values
* mass density: 8.9 g/cm³
* ΔH_f (0 K): 0.30 eV/atom
* SG: R-3m, No. 166

=====

A plane-wave DFT calculation with PBE was carried out for a relaxed Cr4InHg crystal.

Structure (POSCAR):
```
Cr4InHg
1.0
-0.0120 -1.0041 4.9008
-4.2432 -1.3845 2.2592
-0.5672 -4.7102 1.5868
Cr In Hg
4 1 1
direct
0.3773 0.3773 0.3773 Cr
0.8681 0.3773 0.3773 Cr
0.3773 0.8681 0.3773 Cr
0.3773 0.3773 0.8681 Cr
0.0000 0.0000 0.0000 In
0.7500 0.7500 0.7500 Hg
```

Calculated values
* mass density: 9.8 g/cm³
* ΔH_f (0 K): 0.55 eV/atom
* SG: F-43m, No. 216